Record 1
A relaxed structure of KLiP2, computed with PBE.

Calculated values
raw total energy: -0.1230 hartree per atom
DOS(E_F): 0.3682 states/eV/atom
ΔH_f (0 K): 0.110 eV/atom

Cell: 5.4571 5.4571 5.4571 Å, 136.58 136.00 63.53°
Last column: nearest neighbours and their distance in Å.
Sites, in units of the cell vectors:
K 0.7500 0.2500 0.5000  4 Li 2.87, 8 P 3.08
Li 0.2500 0.7500 0.5000  4 K 2.87, 8 P 3.07-3.10
P 0.0012 0.0012 0.0000  4 P 2.87, 4 Li 3.07-3.10, 4 K 3.08
P 0.4988 0.4988 0.0000  4 P 2.87, 4 Li 3.07-3.10, 4 K 3.08

Record 2
A relaxed structure of KLiP2, computed with PBE.

Calculated values
raw total energy: -0.1288 hartree per atom
DOS(E_F): 0.3057 states/eV/atom
ΔH_f (0 K): -0.047 eV/atom

Cell: 2.8011 2.8011 8.9482 Å, 90.00 90.00 89.98°
Last column: nearest neighbours and their distance in Å.
Sites, in units of the cell vectors:
K 0.5000 0.5000 0.2500  4 K 2.80
Li 0.5000 0.5000 0.7500  8 P 2.75, 4 Li 2.80
P 0.0000 0.0000 0.9630  4 Li 2.75, 4 P 2.80
P 0.0000 0.0000 0.5370  4 Li 2.75, 4 P 2.80

Record 3
A relaxed structure of KLiP2, computed with PBE.

Calculated values
raw total energy: -0.1199 hartree per atom
DOS(E_F): 0.8532 states/eV/atom
ΔH_f (0 K): 0.194 eV/atom

Cell: 9.4588 9.4588 9.4588 Å, 18.74 18.74 18.74°
Last column: nearest neighbours and their distance in Å.
Sites, in units of the cell vectors:
K 0.2500 0.2500 0.2500  6 K 3.08, 6 P 3.20
Li 0.7500 0.7500 0.7500  6 P 2.66
P 0.0122 0.0122 0.0122  3 Li 2.66
P 0.4878 0.4878 0.4878  3 Li 2.66

Record 4
A relaxed structure of KLiP2, computed with PBE.

Calculated values
raw total energy: -0.1154 hartree per atom
DOS(E_F): 0.5528 states/eV/atom
ΔH_f (0 K): 0.317 eV/atom

Cell: 4.8978 4.8978 4.8978 Å, 60.00 60.00 60.00°
Last column: nearest neighbours and their distance in Å.
Sites, in units of the cell vectors:
P 0.2500 0.2500 0.2500  4 K 3.00, 4 Li 3.00
P 0.7500 0.7500 0.7500  4 Li 3.00, 4 K 3.00
K 0.5000 0.5000 0.5000  8 P 3.00
Li 0.0000 0.0000 0.0000  8 P 3.00

Record 5
A relaxed structure of KLiP2, computed with PBE.

Calculated values
raw total energy: -0.1237 hartree per atom
DOS(E_F): 0.4282 states/eV/atom
ΔH_f (0 K): 0.092 eV/atom

Cell: 6.5277 5.5125 2.7812 Å, 90.00 64.78 118.98°
Last column: nearest neighbours and their distance in Å.
Sites, in units of the cell vectors:
K 0.0000 0.5000 0.5000  2 K 2.78, 2 Li 2.95, 8 P 3.09
Li 0.5000 0.5000 0.0000  2 Li 2.78, 2 K 2.95, 8 P 3.09
P 0.0000 0.0000 0.0000  4 P 2.78-2.95, 4 Li 3.09, 4 K 3.09
P 0.5000 0.0000 0.5000  4 P 2.78-2.95, 4 K 3.09, 4 Li 3.09

Record 6
A relaxed structure of KLiP2, computed with PBE.

Calculated values
raw total energy: -0.1169 hartree per atom
DOS(E_F): 0.5398 states/eV/atom
ΔH_f (0 K): 0.277 eV/atom

Cell: 5.1772 5.1772 5.1772 Å, 128.23 128.23 76.26°
Last column: nearest neighbours and their distance in Å.
Sites, in units of the cell vectors:
K 0.5000 0.5000 0.0000  4 Li 3.04, 8 P 3.04-3.20
Li 0.7500 0.2500 0.5000  4 K 3.04, 8 P 3.04-3.20
P 0.0000 0.0000 0.0000  4 P 3.04, 4 Li 3.04, 4 K 3.20
P 0.2500 0.7500 0.5000  4 P 3.04, 4 K 3.04, 4 Li 3.20

Record 7
A relaxed structure of KLiP2, computed with PBE.

Calculated values
raw total energy: -0.1413 hartree per atom
DOS(E_F): 0.1923 states/eV/atom
ΔH_f (0 K): -0.387 eV/atom

Cell: 3.3610 4.3596 6.2152 Å, 89.93 90.00 90.00°
Last column: nearest neighbours and their distance in Å.
Sites, in units of the cell vectors:
K 0.0000 0.6246 0.4627  6 P 3.34-3.55, 2 K 3.36, 4 Li 3.51-3.56
Li 0.5000 0.6251 0.9673  6 P 2.48-2.77
P 0.0000 0.1252 0.9123  2 P 2.27
P 0.5000 0.1250 0.1577  2 P 2.27, 2 Li 2.48

Record 8
A relaxed structure of K2LiP2, computed with PBE.

Calculated values
raw total energy: -0.1097 hartree per atom
DOS(E_F): 0.7243 states/eV/atom
ΔH_f (0 K): 0.001 eV/atom

Cell: 7.3644 7.3644 7.3644 Å, 143.09 143.09 53.19°
Last column: nearest neighbours and their distance in Å.
Sites, in units of the cell vectors:
K 0.2500 0.7500 0.5000  4 P 3.23, 4 K 3.30
K 0.7500 0.2500 0.5000  4 P 3.23, 4 K 3.30
Li 0.0000 0.0000 0.0000  8 P 3.46
P 0.5808 0.5808 0.0000  1 P 2.13
P 0.4192 0.4192 0.0000  1 P 2.13

Record 9
A relaxed structure of KLiP2, computed with PBE.

Calculated values
raw total energy: -0.1230 hartree per atom
DOS(E_F): 0.5855 states/eV/atom
ΔH_f (0 K): 0.111 eV/atom

Cell: 4.0462 4.0506 4.6390 Å, 90.00 90.00 90.00°
Last column: nearest neighbours and their distance in Å.
Sites, in units of the cell vectors:
K 0.5000 0.0000 0.5000  4 Li 2.86, 8 P 3.08
Li 0.0000 0.5000 0.5000  4 K 2.86, 8 P 3.08
P 0.0000 0.0000 0.0000  4 P 2.86, 4 K 3.08, 4 Li 3.08
P 0.5000 0.5000 0.0000  4 P 2.86, 4 Li 3.08, 4 K 3.08

Record 10
A relaxed structure of K2LiP2, computed with PBE.

Calculated values
raw total energy: -0.1204 hartree per atom
DOS(E_F): 0.5381 states/eV/atom
ΔH_f (0 K): -0.290 eV/atom

Cell: 7.0890 7.0890 5.1327 Å, 90.00 90.00 90.00°
Last column: nearest neighbours and their distance in Å.
Sites, in units of the cell vectors:
P 0.3915 0.8915 0.0000  1 P 2.18
P 0.8915 0.6085 0.0000  1 P 2.18
P 0.6085 0.1085 0.0000  1 P 2.18
P 0.1085 0.3915 0.0000  1 P 2.18
K 0.1784 0.6784 0.5000  6 P 3.31-3.34, 5 K 3.58-3.69, 4 Li 3.66
K 0.6784 0.8216 0.5000  6 P 3.31-3.34, 5 K 3.58-3.69, 4 Li 3.66
K 0.8216 0.3216 0.5000  6 P 3.31-3.34, 5 K 3.58-3.69, 4 Li 3.66
K 0.3216 0.1784 0.5000  6 P 3.31-3.34, 5 K 3.58-3.69, 4 Li 3.66
Li 0.0000 0.0000 0.0000  4 P 2.88
Li 0.5000 0.5000 0.0000  4 P 2.88

Record 11
A relaxed structure of K4LiP2, computed with PBE.

Calculated values
raw total energy: -0.0986 hartree per atom
DOS(E_F): 0.9251 states/eV/atom
ΔH_f (0 K): -0.237 eV/atom

Cell: 5.5737 5.5737 9.8247 Å, 73.52 73.52 60.00°
Last column: nearest neighbours and their distance in Å.
Sites, in units of the cell vectors:
K 0.3884 0.3884 0.8349  3 P 3.32-3.33, 3 Li 3.56
K 0.2055 0.2055 0.3834  4 P 3.35-3.43
K 0.7945 0.7945 0.6166  4 P 3.35-3.43
K 0.6116 0.6116 0.1651  3 P 3.32-3.33, 3 Li 3.56
Li 0.0000 0.0000 0.0000  2 P 2.37
P 0.0851 0.0851 0.7448  1 Li 2.37
P 0.9149 0.9149 0.2552  1 Li 2.37

Record 12
A relaxed structure of K4LiP, computed with PBE.

Calculated values
raw total energy: -0.0555 hartree per atom
DOS(E_F): 0.6647 states/eV/atom
ΔH_f (0 K): 0.443 eV/atom

Cell: 7.0951 7.0951 7.0951 Å, 60.00 60.00 60.00°
Last column: nearest neighbours and their distance in Å.
Sites, in units of the cell vectors:
K 0.8819 0.3727 0.3727  6 K 3.48-3.61
K 0.3727 0.3727 0.8819  6 K 3.48-3.61
K 0.3727 0.8819 0.3727  6 K 3.48-3.61
K 0.3727 0.3727 0.3727  6 K 3.48-3.61
Li 0.7500 0.7500 0.7500  12 K 4.17, 4 P 4.34
P 0.0000 0.0000 0.0000  12 K 4.15, 4 Li 4.34